La2CrAs (meta-GGA SCAN, single point on PBEsol structure); energy of formation = -237 meV per atom; VASP energy = -125.733 eV/cell; space-group type = P4mm (99)
1.0
-3.242 0.354 -0.373
-0.499 -1.582 2.833
0.331 7.505 4.251
As Cr La
1 1 2
Direct
0.000 0.000 0.568
0.500 0.500 0.683
0.000 0.000 0.929
0.500 0.500 0.321